DFT (PBE-GGA) results for crystalline K2AcBr5 at its relaxed geometry.

Lattice parameters (Å, degrees): 8.768 8.772 9.161 118.65 118.68 90.00
Sites, in units of the cell vectors:
Br 0.291 0.829 0.120
Br 0.291 0.291 0.119
K 0.134 0.634 0.267
Br 0.829 0.829 0.120
Br 0.829 0.291 0.120
Ac 0.993 0.993 0.987
Br 0.776 0.776 0.554
K 0.634 0.134 0.267

Summary:
The value obtained for the density is 2.26 g/cm³. The polymorph energy (0 for the lowest one) is 147 meV/atom. The size of the total moment is 0.00 μB per formula unit. The value obtained for the raw formation energy is -1.779 eV/atom.